Material: Ac5Ag
Method: DFT, PBE
State: relaxed

SG = P4/mmm
distance to the lowest polymorph of the same formula = 0.0 meV/atom

Unit cell a=3.9853 b=3.9853 c=15.2829 alpha=90.00 beta=90.00 gamma=90.00
Positions (direct):
Ac1 0.0000 0.0000 0.8715
Ac2 0.0000 0.0000 0.1285
Ac3 0.5000 0.5000 0.6841
Ac4 0.5000 0.5000 0.3159
Ac5 0.0000 0.0000 0.5000
Ag1 0.5000 0.5000 0.0000

Material: AcAg3
Method: DFT, PBE
State: relaxed

electronic total energy = -27.36 eV per cell
SG = Cmcm

Unit cell a=4.7598 b=5.9931 c=7.4964 alpha=90.00 beta=90.00 gamma=113.40
Positions (direct):
Ac1 0.5868 0.1736 0.2500
Ac2 0.4132 0.8264 0.7500
Ag1 0.7063 0.4126 0.7500
Ag2 0.2937 0.5874 0.2500
Ag3 0.1256 0.2512 0.5589
Ag4 0.8744 0.7488 0.4411
Ag5 0.1256 0.2512 0.9411
Ag6 0.8744 0.7488 0.0589

Which magnetic moment belongs to each record? In order, 0.000; 0.000 μB/atom.